Material: VBP2H5NO9
Method: DFT, PBE with a Hubbard U
State: relaxed

## Properties
The calculated total energy comes out at -6.710 eV per atom. As for the symmetry: P2_1/c (14). The size of the total moment comes out at 2.00 μB/f.u.

Lattice parameters (Å, degrees): 8.430 9.601 9.882 103.87 90.00 90.00
Fractional positions:
V  0.655  0.210  0.938
V  0.155  0.790  0.562
V  0.345  0.790  0.062
V  0.845  0.210  0.438
B  0.062  0.334  0.692
B  0.938  0.666  0.308
B  0.438  0.334  0.192
B  0.562  0.666  0.808
P  0.744  0.421  0.726
P  0.244  0.579  0.774
P  0.256  0.579  0.274
P  0.756  0.421  0.226
P  0.942  0.078  0.708
P  0.442  0.922  0.792
P  0.558  0.078  0.208
P  0.058  0.922  0.292
H  0.861  0.727  0.888
H  0.361  0.273  0.612
H  0.139  0.273  0.112
H  0.639  0.727  0.388
H  0.045  0.135  0.154
H  0.545  0.865  0.346
H  0.955  0.865  0.846
H  0.455  0.135  0.654
H  0.007  0.174  0.997
H  0.507  0.826  0.503
H  0.993  0.826  0.003
H  0.583  0.608  0.998
H  0.185  0.104  0.027
H  0.685  0.896  0.473
H  0.815  0.896  0.973
H  0.315  0.104  0.527
H  0.417  0.392  0.002
H  0.083  0.392  0.502
H  0.917  0.608  0.498
H  0.493  0.174  0.497
N  0.406  0.172  0.571
N  0.094  0.172  0.071
N  0.594  0.828  0.429
N  0.906  0.828  0.929
O  0.081  0.192  0.720
O  0.218  0.638  0.931
O  0.282  0.638  0.431
O  0.782  0.362  0.069
O  0.047  0.311  0.537
O  0.547  0.689  0.963
O  0.953  0.689  0.463
O  0.453  0.311  0.037
O  0.520  0.069  0.801
O  0.020  0.931  0.699
O  0.480  0.931  0.199
O  0.980  0.069  0.301
O  0.419  0.192  0.220
O  0.919  0.808  0.280
O  0.581  0.808  0.780
O  0.718  0.362  0.569
O  0.576  0.413  0.265
O  0.076  0.587  0.235
O  0.424  0.587  0.735
O  0.924  0.413  0.765
O  0.789  0.588  0.263
O  0.289  0.412  0.237
O  0.647  0.114  0.349
O  0.711  0.588  0.763
O  0.864  0.351  0.314
O  0.636  0.351  0.814
O  0.136  0.649  0.686
O  0.364  0.649  0.186
O  0.663  0.082  0.082
O  0.163  0.918  0.418
O  0.337  0.918  0.918
O  0.837  0.082  0.582
O  0.853  0.114  0.849
O  0.353  0.886  0.651
O  0.147  0.886  0.151
O  0.211  0.412  0.737